[1]
Here is a geometry-optimized NdDy8Ho4 structure from Alexandria via LeMat-Bulk. Energies are from PBE-GGA.

Values from the calculation:
VASP energy	-4.41	eV per atom
E_form	0.1972	eV per atom
symmetry	R-3m (166)
total moment	0.000	μB per formula unit

Lattice parameters (Å, degrees): 9.963 9.963 9.963 42.85 42.85 42.85
Sites, in units of the cell vectors:
Nd 0.000 0.000 0.000
Dy 0.251 0.251 0.695
Dy 0.251 0.695 0.251
Dy 0.282 0.282 0.282
Dy 0.305 0.749 0.749
Dy 0.695 0.251 0.251
Dy 0.718 0.718 0.718
Dy 0.749 0.305 0.749
Dy 0.749 0.749 0.305
Ho 0.000 0.000 0.500
Ho 0.000 0.500 0.000
Ho 0.500 0.000 0.000
Ho 0.500 0.500 0.500


[2]
Here is a geometry-optimized LaH3Ir structure from Alexandria via LeMat-Bulk. Energies are from PBE-GGA.

Values from the calculation:
VASP energy	-4.97	eV per atom
symmetry	I-4m2 (119)
total moment	0.000	μB per formula unit

Lattice parameters (Å, degrees): 9.018 9.018 9.018 155.34 155.34 35.15
Sites, in units of the cell vectors:
La 0.106 0.106 0.000
La 0.894 0.894 0.000
H 0.001 0.501 0.500
H 0.107 0.324 0.783
H 0.499 0.999 0.500
H 0.541 0.324 0.217
H 0.676 0.459 0.783
H 0.676 0.893 0.217
Ir 0.500 0.500 0.000
Ir 0.750 0.250 0.500


[3]
Here is a geometry-optimized LaDy2IrO8 structure from Alexandria via LeMat-Bulk. Energies are from PBE-GGA.

Values from the calculation:
VASP energy	-7.57	eV per atom
formation energy (no corrections)	-2.35	eV per atom
symmetry	P2/m (10)
total moment	1.947	μB per formula unit

Lattice parameters (Å, degrees): 5.069 6.964 5.078 90.00 90.22 90.00
Sites, in units of the cell vectors:
La 0.000 0.000 0.000
Dy 0.500 0.250 0.500
Dy 0.500 0.750 0.500
Ir 0.000 0.500 0.000
O 0.188 0.300 0.186
O 0.188 0.700 0.186
O 0.267 0.500 0.731
O 0.315 0.000 0.682
O 0.685 0.000 0.318
O 0.733 0.500 0.269
O 0.812 0.300 0.814
O 0.812 0.700 0.814


[4]
Here is a geometry-optimized Li2CaBiO4 structure from Alexandria via LeMat-Bulk. Energies are from PBE-GGA.

Values from the calculation:
VASP energy	-5.46	eV per atom
formation energy (no corrections)	-1.77	eV per atom
symmetry	C2/c (15)
total moment	0.000	μB per formula unit

Lattice parameters (Å, degrees): 6.428 6.428 6.815 118.91 118.91 88.51
Sites, in units of the cell vectors:
Li 0.000 0.000 0.000
Li 0.000 0.000 0.500
Li 0.000 0.500 0.000
Li 0.500 0.000 0.500
Ca 0.000 0.500 0.500
Ca 0.500 0.000 0.000
Bi 0.500 0.500 0.000
Bi 0.500 0.500 0.500
O 0.232 0.731 0.972
O 0.257 0.277 0.037
O 0.269 0.768 0.528
O 0.277 0.257 0.537
O 0.723 0.743 0.463
O 0.731 0.232 0.472
O 0.743 0.723 0.963
O 0.768 0.269 0.028


total moment of number 4 (Li2CaBiO4)?
0.000 μB per formula unit


Which of these has the lowest VASP energy?
LaDy2IrO8


Which value of total moment does entry 3 give?
1.947 μB per formula unit